Below is a PBEsol-optimized structure of MgVGe2O6, with properties calculated at the meta-GGA SCAN level.

Computed properties:
* uncorrected formation energy: -2.171 eV per atom
* final energy: -11.974 eV/atom
* magnetic moment: 5.71 μB/cell

Cell lengths 5.209, 6.583, 6.583 Å; angles 85.49, 82.26, 82.26 degrees
Site moments in Bohr magnetons follow the coordinates.
Sites, in units of the cell vectors:
Ge 0.799 0.401 0.207  0.04
Ge 0.201 0.599 0.793  0.04
O 0.621 0.634 0.136  0.00
Mg 0.750 0.272 0.728  0.00
O 0.872 0.207 0.023  0.00
O 0.372 0.023 0.207  0.00
V 0.250 0.088 0.912  2.49
O 0.379 0.366 0.864  0.00
O 0.889 0.566 0.708  0.01
V 0.750 0.912 0.088  2.49
O 0.879 0.864 0.366  0.00
O 0.111 0.434 0.292  0.01
Ge 0.299 0.207 0.401  0.04
Ge 0.701 0.793 0.599  0.04
O 0.128 0.793 0.977  0.00
O 0.121 0.136 0.634  0.00
O 0.389 0.708 0.566  0.01
O 0.628 0.977 0.793  0.00
O 0.611 0.292 0.434  0.01
Mg 0.250 0.728 0.272  0.00

Below is a PBEsol-optimized structure of TeOs2Pb, with properties calculated at the meta-GGA SCAN level.

Computed properties:
* uncorrected formation energy: 0.992 eV per atom
* relative energy among the computed polymorphs: 0.00 eV/f.u.
* final energy: -63.206 eV/atom
* magnetic moment: 0.00 μB/cell

Cell lengths 3.158, 3.158, 8.641 Å; angles 79.47, 79.47, 60.00 degrees
Sites, in units of the cell vectors:
Pb 0.500 0.500 0.500
Te 0.000 0.000 0.000
Os 0.745 0.745 0.766
Os 0.255 0.255 0.234

Below is a PBEsol-optimized structure of Dy3Si12Ru4, with properties calculated at the meta-GGA SCAN level.

Computed properties:
* uncorrected formation energy: -0.660 eV per atom
* final energy: -21.864 eV/atom
* magnetic moment: 0.00 μB/cell

Cell lengths 8.052, 8.057, 10.025 Å; angles 90.00, 113.68, 90.00 degrees
Sites, in units of the cell vectors:
Si 0.654 0.494 0.766
Dy 0.500 0.500 0.000
Si 0.795 0.500 0.589
Si 0.878 0.271 0.766
Si 0.888 0.729 0.766
Ru 0.874 0.373 0.000
Si 0.332 0.833 0.000
Si 0.378 0.229 0.766
Si 0.168 0.333 0.000
Si 0.122 0.729 0.234
Ru 0.126 0.627 0.000
Dy 0.997 0.250 0.500
Dy 0.003 0.750 0.500
Si 0.622 0.771 0.234
Dy 0.503 0.750 0.500
Si 0.668 0.167 0.000
Dy 0.000 0.000 0.000
Si 0.612 0.994 0.766
Ru 0.169 0.000 0.339
Si 0.295 0.000 0.589
Si 0.846 0.994 0.234
Ru 0.831 0.000 0.661
Si 0.154 0.006 0.766
Si 0.832 0.667 0.000
Ru 0.626 0.873 0.000
Si 0.112 0.506 0.766
Si 0.388 0.771 0.766
Si 0.205 0.500 0.411
Si 0.388 0.006 0.234
Ru 0.331 0.500 0.661
Si 0.888 0.494 0.234
Si 0.612 0.229 0.234
Si 0.705 0.000 0.411
Dy 0.497 0.250 0.500
Ru 0.374 0.127 0.000
Ru 0.669 0.500 0.339
Si 0.346 0.506 0.234
Si 0.112 0.271 0.234

Below is a PBEsol-optimized structure of TeIO2, with properties calculated at the meta-GGA SCAN level.

Computed properties:
* uncorrected formation energy: -0.194 eV per atom
* final energy: -21.808 eV/atom
* magnetic moment: 0.00 μB/cell

Cell lengths 3.800, 3.800, 6.480 Å; angles 72.95, 72.95, 60.00 degrees
Sites, in units of the cell vectors:
Te 0.500 0.500 0.500
O 0.879 0.879 0.363
I 0.000 0.000 0.000
O 0.121 0.121 0.637

Below is a PBEsol-optimized structure of TeAs2Pt, with properties calculated at the meta-GGA SCAN level.

Computed properties:
* uncorrected formation energy: -0.096 eV per atom
* final energy: -37.053 eV/atom
* magnetic moment: 0.00 μB/cell

Cell lengths 3.836, 3.836, 5.469 Å; angles 90.00, 90.00, 90.00 degrees
Sites, in units of the cell vectors:
As 0.500 0.500 0.000
Te 0.500 0.500 0.500
As 0.000 0.000 0.000
Pt 0.000 0.000 0.500

Below is a PBEsol-optimized structure of CuReAg3, with properties calculated at the meta-GGA SCAN level.

Computed properties:
* energy of formation from the pure elements: 1.5993 eV per atom
* final energy: -34.480 eV/atom
* magnetic moment: 3.69 μB/cell

Cell lengths 4.570, 4.570, 4.570 Å; angles 90.00, 90.00, 90.00 degrees
Site moments in Bohr magnetons follow the coordinates.
Sites, in units of the cell vectors:
Ag 0.000 0.500 0.000  -0.02
Ag 0.000 0.000 0.500  -0.02
Ag 0.500 0.000 0.000  -0.02
Re 0.500 0.500 0.500  3.02
Cu 0.000 0.000 0.000  0.02